Entry 1:
A plane-wave DFT calculation with PBE-GGA was carried out for a relaxed CrAs2 crystal.

Cell lengths 6.5746, 6.5746, 4.5740 Å; angles 90.00, 90.00, 149.96 degrees
Sites, in units of the cell vectors:
Cr: 0.1061 0.8939 0.7500
Cr: 0.8939 0.1061 0.2500
As: 0.2408 0.7592 0.2500
As: 0.4450 0.5550 0.7500
As: 0.5550 0.4450 0.2500
As: 0.7592 0.2408 0.7500

Calculated values
The calculation puts the formation energy at 193 meV per atom. Its total energy is -6.11 eV/atom. For the spin magnetization, the calculation gives 4.9 Bohr magnetons per cell. Its crystal system is orthorhombic.

Entry 2:
A plane-wave DFT calculation with PBE-GGA was carried out for a relaxed La2YIr crystal.

Cell lengths 6.1310, 6.1310, 3.4813 Å; angles 102.54, 102.54, 118.68 degrees
Sites, in units of the cell vectors:
La: 0.0000 0.5000 0.0000
La: 0.5000 0.0000 0.0000
Y: 0.0000 0.0000 0.5000
Ir: 0.5000 0.5000 0.5000

Calculated values
The calculation puts the formation energy at 39 meV per atom. Its total energy is -6.26 eV/atom. For the spin magnetization, the calculation gives 0.0 Bohr magnetons per cell. Its energy above the most stable polymorph in this dataset is 0.5341 eV per atom. Its crystal system is monoclinic.